This record from Alexandria describes a geometry-optimized HoPuSc2Se4 structure. The functional is PBE.

Unit cell a=6.909 b=3.964 c=6.911 alpha=90.00 beta=109.09 gamma=90.00
Element x y z (fractional)
Ho 0.000 0.000 0.000
Pu 0.500 0.500 0.000
Sc 0.000 0.500 0.500
Sc 0.500 0.000 0.500
Se 0.241 0.000 0.733
Se 0.252 0.500 0.265
Se 0.748 0.500 0.735
Se 0.759 0.000 0.267

Properties
magnetic moment = 5.9 μB/f.u.
calculated total energy = -58.5 eV per formula unit
uncorrected formation energy = -1.62 eV/atom
symmetry = P2/m